Entry from Alexandria via LeMat-Bulk: TmPaMo2N6 after structural relaxation (PBE).

extended XYZ file:
```
20
Lattice="5.328 -4.653 0.000 5.328 4.653 0.000 -1.705 0.000 5.714" Properties=species:S:1:pos:R:3 pbc="T T T"
Tm 4.049 3.857 4.286
Tm 4.902 -3.857 1.429
Pa 4.902 1.707 1.429
Pa 4.049 -1.707 4.286
Mo 1.898 0.914 4.181
Mo 2.751 -0.914 1.324
Mo 6.200 0.914 4.391
Mo 7.052 -0.914 1.533
N 3.539 3.575 2.019
N 2.516 2.401 5.080
N 6.264 3.575 0.838
N 3.083 0.334 2.757
N 5.582 2.401 3.492
N 2.231 -0.334 5.614
N 6.720 0.334 0.100
N 3.369 -2.401 2.223
N 5.867 -0.334 2.957
N 2.687 -3.575 4.876
N 6.435 -2.401 0.635
N 5.411 -3.575 3.695
```

Formation energy (no corrections) = -0.930 eV/atom
Total moment = 0.000 μB per formula unit
DOS(E_F) = 9.154 states/eV/cell
Space-group type = No. 15